1.
A plane-wave DFT calculation with GGA-PBE was carried out for a relaxed FeCo2Ge2 crystal.

Values from the calculation:
Its total energy is -6.558 eV/atom. As for the formation energy: -0.177 eV per atom.

a b c (Å): 3.815 4.987 6.756
angles (deg): 90.00 90.00 90.00
Each line ends with the local moment (μB).
Positions (direct):
Fe1 0.000 0.500 0.000  2.34
Fe2 0.000 0.000 0.000  2.34
Co1 0.500 0.500 0.500  -0.02
Ge1 0.500 0.250 0.808  -0.07
Co2 0.500 0.750 0.833  0.40
Ge2 0.000 0.750 0.623  -0.02
Ge3 0.000 0.250 0.377  -0.02
Co3 0.500 0.250 0.167  0.40
Ge4 0.500 0.750 0.192  -0.07
Co4 0.500 0.000 0.500  -0.02

2.
A plane-wave DFT calculation with GGA-PBE was carried out for a relaxed Fe2Co5Ge crystal.

Values from the calculation:
Its total energy is -7.199 eV/atom. As for the formation energy: -0.065 eV per atom.

a b c (Å): 3.771 4.938 9.750
angles (deg): 90.00 90.00 90.00
Each line ends with the local moment (μB).
Positions (direct):
Fe1 0.500 0.185 0.864  2.69
Ge1 0.000 0.000 0.500  -0.10
Ge2 0.000 0.500 0.000  -0.10
Fe2 0.500 0.685 0.636  2.69
Fe3 0.500 0.815 0.136  2.69
Co1 0.500 0.804 0.385  1.10
Co2 0.500 0.696 0.885  1.10
Co3 0.500 0.196 0.615  1.10
Fe4 0.500 0.315 0.364  2.69
Co4 0.000 0.575 0.251  1.40
Co5 0.500 0.304 0.115  1.10
Co6 0.000 0.075 0.249  1.40
Co7 0.000 0.500 0.500  1.26
Co8 0.000 0.925 0.751  1.40
Co9 0.000 0.425 0.749  1.40
Co10 0.000 0.000 0.000  1.26

3.
A plane-wave DFT calculation with GGA-PBE was carried out for a relaxed FeCo3Ge crystal.

Values from the calculation:
Its total energy is -5.787 eV/atom. As for the formation energy: 1.093 eV per atom. The energy above the most stable polymorph in this dataset comes out at 1.196 eV per atom.

a b c (Å): 4.231 4.231 4.231
angles (deg): 90.00 90.00 90.00
Each line ends with the local moment (μB).
Positions (direct):
Ge1 0.500 0.500 0.500  0.00
Fe1 0.000 0.000 0.000  2.29
Co1 0.000 0.500 0.000  1.71
Co2 0.500 0.000 0.000  1.20
Co3 0.000 0.000 0.500  2.05

4.
A plane-wave DFT calculation with GGA-PBE was carried out for a relaxed FeCoGe crystal.

Values from the calculation:
Its total energy is -6.786 eV/atom. As for the formation energy: -0.057 eV per atom.

a b c (Å): 3.883 3.883 3.883
angles (deg): 60.00 60.00 60.00
Each line ends with the local moment (μB).
Positions (direct):
Fe1 0.500 0.500 0.500  2.59
Co1 0.250 0.250 0.250  0.52
Ge1 0.000 0.000 0.000  -0.09

5.
A plane-wave DFT calculation with GGA-PBE was carried out for a relaxed HoFeCoGe3 crystal.

Values from the calculation:
Its total energy is -5.842 eV/atom. As for the formation energy: -0.175 eV per atom.

a b c (Å): 7.226 5.611 6.025
angles (deg): 117.75 90.00 90.00
Each line ends with the local moment (μB).
Positions (direct):
Ho1 0.750 0.260 0.519  0.05
Ge1 0.500 0.743 0.000  -0.02
Fe1 0.250 0.435 0.871  0.83
Co1 0.250 0.022 0.044  0.24
Ge2 0.000 0.257 0.000  -0.02
Ge3 0.000 0.743 0.000  -0.02
Ge4 0.500 0.257 0.000  -0.02
Ho2 0.250 0.740 0.481  0.05
Fe2 0.750 0.565 0.129  0.83
Ge5 0.750 0.771 0.541  -0.01
Co2 0.750 0.978 0.956  0.24
Ge6 0.250 0.229 0.459  -0.01

6.
A plane-wave DFT calculation with GGA-PBE was carried out for a relaxed LaFeCoGe2 crystal.

Values from the calculation:
Its total energy is -6.481 eV/atom. As for the formation energy: -0.535 eV per atom.

a b c (Å): 4.095 4.095 5.910
angles (deg): 110.27 110.27 90.00
Positions (direct):
Ge1 0.362 0.362 0.725
Fe1 0.250 0.750 0.500
Ge2 0.638 0.638 0.275
La1 0.000 0.000 0.000
Co1 0.750 0.250 0.500

7.
A plane-wave DFT calculation with GGA-PBE was carried out for a relaxed MgFeCoGe crystal.

Values from the calculation:
Its total energy is -5.466 eV/atom. As for the formation energy: -0.021 eV per atom.

a b c (Å): 4.120 4.120 4.120
angles (deg): 60.00 60.00 60.00
Each line ends with the local moment (μB).
Positions (direct):
Co1 0.500 0.500 0.500  -0.03
Mg1 0.750 0.750 0.750  0.00
Ge1 0.250 0.250 0.250  -0.01
Fe1 0.000 0.000 0.000  0.36

8.
A plane-wave DFT calculation with GGA-PBE was carried out for a relaxed FeCoGe2Mo crystal.

Values from the calculation:
Its total energy is -6.265 eV/atom. As for the formation energy: 0.862 eV per atom. The energy above the most stable polymorph in this dataset comes out at 0.000 eV per atom.

a b c (Å): 4.327 4.492 4.327
angles (deg): 90.00 90.00 90.00
Each line ends with the local moment (μB).
Positions (direct):
Ge1 0.000 0.000 0.500  -0.02
Ge2 0.500 0.000 0.000  0.02
Fe1 0.000 0.500 0.000  2.76
Co1 0.000 0.000 0.000  0.46
Mo1 0.500 0.500 0.500  1.97